1.
First-principles (PBE) data for CsZn3Sn after structural relaxation, as listed in Alexandria via LeMat-Bulk.

Lattice parameters (Å, degrees): 5.562 5.562 5.562 90.00 90.00 90.00
Space group Pm-3m (No. 221)
One atom of each set of equivalent atoms:
1 Cs 0.000 0.000 0.000
2 Zn 0.000 0.500 0.500
3 Sn 0.500 0.500 0.500

* density of states at the Fermi level: 4.82 states/eV per cell
* ΔE_f: 5.8 kcal/mol of atoms

=====

2.
First-principles (PBE) data for Cs2Zn2Sn after structural relaxation, as listed in Alexandria via LeMat-Bulk.

Lattice parameters (Å, degrees): 10.783 10.783 3.538 90.00 90.00 90.00
Space group P4/mbm (No. 127)
One atom of each set of equivalent atoms:
1 Cs 0.196 0.304 0.000
2 Zn 0.089 0.589 0.500
3 Sn 0.000 0.000 0.000

* density of states at the Fermi level: 2.66 states/eV per cell
* ΔE_f: 7.4 kcal/mol of atoms

=====

3.
First-principles (PBE) data for CsZnSn after structural relaxation, as listed in Alexandria via LeMat-Bulk.

Lattice parameters (Å, degrees): 4.696 9.306 11.921 90.00 90.00 90.00
Space group P2_12_12_1 (No. 19)
One atom of each set of equivalent atoms:
1 Cs 0.206 0.203 0.207
2 Zn 0.200 0.150 0.550
3 Sn 0.200 0.444 0.526

* density of states at the Fermi level: 9.34 states/eV per cell
* ΔE_f: -0.6 kcal/mol of atoms

=====

4.
First-principles (PBE) data for Cs3ZnSn4 after structural relaxation, as listed in Alexandria via LeMat-Bulk.

Lattice parameters (Å, degrees): 7.577 14.261 6.472 90.00 90.00 90.00
Space group Pmmn (No. 59, origin choice 2)
One atom of each set of equivalent atoms:
1 Cs 0.250 0.013 0.167
2 Cs 0.250 0.250 0.554
3 Zn 0.250 0.750 0.313
4 Sn 0.039 0.750 0.962
5 Sn 0.250 0.637 0.663

* density of states at the Fermi level: 7.50 states/eV per cell
* ΔE_f: -5.8 kcal/mol of atoms

=====

5.
First-principles (PBE) data for CsZn2Sn2 after structural relaxation, as listed in Alexandria via LeMat-Bulk.

Lattice parameters (Å, degrees): 7.405 7.430 7.432 105.63 113.20 105.41
Space group P-1 (No. 2)
One atom of each set of equivalent atoms:
1 Cs 0.117 0.249 0.383
2 Zn 0.191 0.391 0.950
3 Zn 0.452 0.897 0.691
4 Sn 0.246 0.746 0.254
5 Sn 0.494 0.748 0.997

* density of states at the Fermi level: 3.43 states/eV per cell
* ΔE_f: -1.4 kcal/mol of atoms

=====

6.
First-principles (PBE) data for CsZnSn2 after structural relaxation, as listed in Alexandria via LeMat-Bulk.

Lattice parameters (Å, degrees): 3.770 3.770 8.658 90.00 90.00 90.00
Space group P4/mmm (No. 123)
One atom of each set of equivalent atoms:
1 Cs 0.000 0.000 0.000
2 Zn 0.000 0.000 0.500
3 Sn 0.500 0.500 0.330

* density of states at the Fermi level: 3.06 states/eV per cell
* ΔE_f: -0.9 kcal/mol of atoms

=====

7.
First-principles (PBE) data for CsZn2Sn2 after structural relaxation, as listed in Alexandria via LeMat-Bulk.

Lattice parameters (Å, degrees): 4.959 4.959 11.741 90.00 90.00 90.00
Space group I4/mmm (No. 139)
One atom of each set of equivalent atoms:
1 Cs 0.000 0.000 0.000
2 Zn 0.000 0.500 0.250
3 Sn 0.000 0.000 0.370

* density of states at the Fermi level: 4.79 states/eV per cell
* ΔE_f: -1.6 kcal/mol of atoms

=====

8.
First-principles (PBE) data for Cs2ZnSn after structural relaxation, as listed in Alexandria via LeMat-Bulk.

Lattice parameters (Å, degrees): 9.273 9.273 9.273 90.00 90.00 90.00
Space group Fm-3m (No. 225)
One atom of each set of equivalent atoms:
1 Cs 0.250 0.250 0.250
2 Zn 0.000 0.000 0.000
3 Sn 0.000 0.000 0.500

* density of states at the Fermi level: 11.82 states/eV per cell
* ΔE_f: 4.5 kcal/mol of atoms

=====

9.
First-principles (PBE) data for CsZnSn after structural relaxation, as listed in Alexandria via LeMat-Bulk.

Lattice parameters (Å, degrees): 3.859 4.873 12.450 90.00 90.00 90.00
Space group Amm2 (No. 38)
One atom of each set of equivalent atoms:
1 Cs 0.000 0.000 0.000
2 Zn 0.500 0.000 0.285
3 Sn 0.500 0.000 0.709

* density of states at the Fermi level: 1.05 states/eV per cell
* ΔE_f: 0.4 kcal/mol of atoms

=====

10.
First-principles (PBE) data for Cs2Zn2Sn after structural relaxation, as listed in Alexandria via LeMat-Bulk.

Lattice parameters (Å, degrees): 3.775 3.775 25.550 90.00 90.00 90.00
Space group I4/mmm (No. 139)
One atom of each set of equivalent atoms:
1 Cs 0.000 0.000 0.113
2 Zn 0.000 0.500 0.250
3 Sn 0.000 0.000 0.500

* density of states at the Fermi level: 8.33 states/eV per cell
* ΔE_f: 3.5 kcal/mol of atoms

=====

11.
First-principles (PBE) data for CsZnSn after structural relaxation, as listed in Alexandria via LeMat-Bulk.

Lattice parameters (Å, degrees): 4.344 4.747 6.963 73.38 73.00 62.90
Space group P1 (No. 1)
One atom of each set of equivalent atoms:
1 Cs 0.000 0.000 0.000
2 Zn 0.801 0.818 0.555
3 Sn 0.501 0.460 0.511

* density of states at the Fermi level: 2.40 states/eV per cell
* ΔE_f: -0.5 kcal/mol of atoms

=====

12.
First-principles (PBE) data for CsZn2Sn2 after structural relaxation, as listed in Alexandria via LeMat-Bulk.

Lattice parameters (Å, degrees): 9.192 9.192 3.401 90.00 90.00 90.00
Space group P4/mbm (No. 127)
One atom of each set of equivalent atoms:
1 Cs 0.000 0.000 0.000
2 Zn 0.142 0.358 0.500
3 Sn 0.128 0.628 0.000

* density of states at the Fermi level: 3.64 states/eV per cell
* ΔE_f: 2.7 kcal/mol of atoms

=====

13.
First-principles (PBE) data for CsZnSn after structural relaxation, as listed in Alexandria via LeMat-Bulk.

Lattice parameters (Å, degrees): 4.893 7.586 7.615 67.90 81.28 71.78
Space group P-1 (No. 2)
One atom of each set of equivalent atoms:
1 Cs 0.150 0.324 0.297
2 Zn 0.136 0.052 0.830
3 Sn 0.434 0.804 0.165

* density of states at the Fermi level: 0.09 states/eV per cell
* ΔE_f: -2.5 kcal/mol of atoms

=====

14.
First-principles (PBE) data for Cs2Zn2Sn after structural relaxation, as listed in Alexandria via LeMat-Bulk.

Lattice parameters (Å, degrees): 5.364 5.364 14.073 90.00 90.00 90.00
Space group I4/mmm (No. 139)
One atom of each set of equivalent atoms:
1 Cs 0.000 0.500 0.250
2 Zn 0.000 0.000 0.086
3 Sn 0.000 0.000 0.500

* density of states at the Fermi level: 7.76 states/eV per cell
* ΔE_f: 9.1 kcal/mol of atoms

=====

15.
First-principles (PBE) data for Cs3Zn2Sn4 after structural relaxation, as listed in Alexandria via LeMat-Bulk.

Lattice parameters (Å, degrees): 14.977 4.526 10.985 90.00 102.22 90.00
Space group C2/m (No. 12)
One atom of each set of equivalent atoms:
1 Cs 0.000 0.000 0.000
2 Cs 0.112 0.500 0.393
3 Zn 0.165 0.500 0.824
4 Sn 0.122 0.000 0.692
5 Sn 0.216 0.500 0.091

* density of states at the Fermi level: 9.62 states/eV per cell
* ΔE_f: -3.3 kcal/mol of atoms

=====

16.
First-principles (PBE) data for CsZn2Sn2 after structural relaxation, as listed in Alexandria via LeMat-Bulk.

Lattice parameters (Å, degrees): 4.780 4.780 12.410 90.00 90.00 90.00
Space group I4/mmm (No. 139)
One atom of each set of equivalent atoms:
1 Cs 0.000 0.000 0.000
2 Zn 0.000 0.000 0.392
3 Sn 0.000 0.500 0.250

* density of states at the Fermi level: 4.38 states/eV per cell
* ΔE_f: -1.1 kcal/mol of atoms

=====

17.
First-principles (PBE) data for CsZnSn2 after structural relaxation, as listed in Alexandria via LeMat-Bulk.

Lattice parameters (Å, degrees): 4.6108 4.6108 23.0720 90.00 90.00 120.00
Space group R-3m (No. 166, hexagonal axes)
One atom of each set of equivalent atoms:
1 Cs 0.0000 0.0000 0.0000
2 Zn 0.0000 0.0000 0.5000
3 Sn 0.0000 0.0000 0.2092

* density of states at the Fermi level: 7.34 states/eV per cell
* ΔE_f: -1.9 kcal/mol of atoms

=====

18.
First-principles (PBE) data for Cs2Zn2Sn after structural relaxation, as listed in Alexandria via LeMat-Bulk.

Lattice parameters (Å, degrees): 7.613 7.613 6.123 90.00 90.00 90.00
Space group P4/mbm (No. 127)
One atom of each set of equivalent atoms:
1 Cs 0.180 0.320 0.000
2 Zn 0.132 0.632 0.500
3 Sn 0.000 0.000 0.500

* density of states at the Fermi level: 0.69 states/eV per cell
* ΔE_f: 1.5 kcal/mol of atoms

=====

19.
First-principles (PBE) data for CsZn3Sn3 after structural relaxation, as listed in Alexandria via LeMat-Bulk.

Lattice parameters (Å, degrees): 7.636 7.636 7.636 90.00 90.00 90.00
Space group Pm-3n (No. 223)
One atom of each set of equivalent atoms:
1 Cs 0.000 0.000 0.000
2 Zn 0.000 0.250 0.500
3 Sn 0.000 0.500 0.250

* density of states at the Fermi level: 9.63 states/eV per cell
* ΔE_f: 1.1 kcal/mol of atoms

=====

20.
First-principles (PBE) data for Cs2ZnSn after structural relaxation, as listed in Alexandria via LeMat-Bulk.

Lattice parameters (Å, degrees): 14.023 14.023 5.174 90.00 90.00 90.00
Space group I-42d (No. 122)
One atom of each set of equivalent atoms:
1 Cs 0.063 0.250 0.125
2 Zn 0.000 0.000 0.000
3 Sn 0.000 0.000 0.500

* density of states at the Fermi level: 10.28 states/eV per cell
* ΔE_f: -0.1 kcal/mol of atoms